First-principles (GGA+U) data for a geometry-optimized Sr3Co2O8 structure, as listed in the Alexandria database.

The calculation puts the density of states at the Fermi level at 14.49 states/eV/cell. The value obtained for the uncorrected energy is -229.0 eV/cell. The size of the total moment is 8.00 μB/f.u.

The structure belongs to space group R-3m (No. 166, hexagonal axes); the cell edges are 5.5001, 5.5001 and 20.9814 Å and the angles 90.00°, 90.00° and 120.00°. Symmetry generates all atoms from Sr at (0.0000, 0.0000, 0.0000), Sr at (0.0000, 0.0000, 0.2065), Co at (0.0000, 0.0000, 0.4058), O at (0.0000, 0.0000, 0.3230) and O at (0.0081, 0.5041, 0.7692).